Entry 1:
Crystalline TbSmPuIn at its relaxed geometry. Source: Alexandria, functional PBE.

a b c (Å): 7.7339 7.7339 7.7339
angles (deg): 90.00 90.00 90.00
Space group F-43m (No. 216)
Unique sites:
Tb1 0.0000 0.0000 0.0000
Sm1 0.2500 0.2500 0.2500
Pu1 0.2500 0.2500 0.7500
In1 0.0000 0.0000 0.5000

Values from the calculation:
V, Å³/f.u.: 115.65
Energy relative to the elements, eV/atom: -0.01
DOS at the Fermi energy, states/eV/atom: 2.505



Entry 2:
Crystalline GaAsRh2 at its relaxed geometry. Source: Alexandria, functional PBE.

a b c (Å): 5.5705 5.5705 10.8505
angles (deg): 90.00 90.00 90.00
Space group I-42d (No. 122)
Unique sites:
Ga1 0.0000 0.0000 0.0000
As1 0.0000 0.0000 0.5000
Rh1 0.2379 0.2500 0.6250

Values from the calculation:
V, Å³/f.u.: 84.17
Energy relative to the elements, eV/atom: -0.05
Energy above the lowest structure with this stoichiometry, meV/atom: 497
DOS at the Fermi energy, states/eV/atom: 0.580



Entry 3:
Crystalline La4Co3 at its relaxed geometry. Source: Alexandria, functional PBE.

a b c (Å): 3.8576 3.8576 23.8385
angles (deg): 90.00 90.00 90.00
Space group I4/mmm (No. 139)
Unique sites:
La1 0.0000 0.0000 0.0683
La2 0.0000 0.0000 0.3087
Co1 0.0000 0.0000 0.1797
Co2 0.0000 0.0000 0.5000

Values from the calculation:
V, Å³/f.u.: 177.37
Energy relative to the elements, eV/atom: 0.04
Energy above the lowest structure with this stoichiometry, meV/atom: 0
DOS at the Fermi energy, states/eV/atom: 0.838



Entry 4:
Crystalline VGaCo at its relaxed geometry. Source: Alexandria, functional PBE.

a b c (Å): 4.1931 4.1931 4.9211
angles (deg): 90.00 90.00 120.00
Space group P6_3/mmc (No. 194)
Unique sites:
V1 0.0000 0.0000 0.0000
Ga1 0.3333 0.6667 0.2500
Co1 0.3333 0.6667 0.7500

Values from the calculation:
V, Å³/f.u.: 37.47
Energy relative to the elements, eV/atom: -0.26
DOS at the Fermi energy, states/eV/atom: 0.786